(1)
Compound: Si2TeMo
Source: the Alexandria database
Functional: GGA-PBEsol
Structure: relaxed

Computed properties:
mass density: 6.31 g cm⁻³
raw total energy: -6.5474 eV/atom
formation energy (no corrections): 0.15 eV/atom

Lattice parameters (Å, degrees): 8.3184 3.2918 5.4012 90.00 95.80 90.00
Space group Cm (No. 8)
Unique sites:
Si1 0.0000 0.0000 0.0000
Si2 0.2394 0.0000 0.7964
Te1 0.4367 0.0000 0.4376
Mo1 0.2275 0.5000 0.1380



(2)
Compound: SiTe3Mo
Source: the Alexandria database
Functional: GGA-PBEsol
Structure: relaxed

Computed properties:
mass density: 6.26 g cm⁻³
raw total energy: -4.5200 eV/atom
formation energy (no corrections): 1.10 eV/atom

Lattice parameters (Å, degrees): 5.1228 5.1228 5.1228 90.00 90.00 90.00
Space group Pm-3m (No. 221)
Unique sites:
Si1 0.0000 0.0000 0.0000
Te1 0.0000 0.0000 0.5000
Mo1 0.5000 0.5000 0.5000



(3)
Compound: Si2TeMo
Source: the Alexandria database
Functional: GGA-PBEsol
Structure: relaxed

Computed properties:
mass density: 7.05 g cm⁻³
raw total energy: -6.3366 eV/atom
formation energy (no corrections): 0.36 eV/atom

Lattice parameters (Å, degrees): 3.4456 4.7164 8.1136 90.00 90.00 90.00
Space group Imm2 (No. 44)
Unique sites:
Si1 0.0000 0.0000 0.0000
Si2 0.0000 0.5000 0.2954
Te1 0.0000 0.5000 0.7493
Mo1 0.0000 0.0000 0.5405



(4)
Compound: Si2TeMo
Source: the Alexandria database
Functional: GGA-PBEsol
Structure: relaxed

Computed properties:
mass density: 6.44 g cm⁻³
raw total energy: -6.3177 eV/atom
formation energy (no corrections): 0.38 eV/atom

Lattice parameters (Å, degrees): 3.4656 4.5251 4.6297 90.00 96.36 90.00
Space group P2/m (No. 10)
Unique sites:
Si1 0.0664 0.0000 0.2577
Te1 0.5000 0.5000 0.0000
Mo1 0.0000 0.5000 0.5000



(5)
Compound: Si2TeMo
Source: the Alexandria database
Functional: GGA-PBEsol
Structure: relaxed

Computed properties:
mass density: 6.28 g cm⁻³
raw total energy: -6.4543 eV/atom
formation energy (no corrections): 0.24 eV/atom

Lattice parameters (Å, degrees): 3.4608 3.4608 21.3755 90.00 90.00 120.00
Space group R3m (No. 160, hexagonal axes)
Unique sites:
Si1 0.0000 0.0000 0.0000
Si2 0.0000 0.0000 0.2735
Te1 0.0000 0.0000 0.4963
Mo1 0.0000 0.0000 0.7439



(6)
Compound: SiTe2Mo
Source: the Alexandria database
Functional: GGA-PBEsol
Structure: relaxed

Computed properties:
mass density: 6.73 g cm⁻³
raw total energy: -5.2328 eV/atom
formation energy (no corrections): 0.91 eV/atom

Lattice parameters (Å, degrees): 3.5608 3.5608 25.5828 90.00 90.00 120.00
Space group R-3m (No. 166, hexagonal axes)
Unique sites:
Si1 0.0000 0.0000 0.0000
Te1 0.0000 0.0000 0.4000
Mo1 0.0000 0.0000 0.5000



(7)
Compound: SiTeMo2
Source: the Alexandria database
Functional: GGA-PBEsol
Structure: relaxed

Computed properties:
mass density: 9.13 g cm⁻³
raw total energy: -8.0899 eV/atom
energy relative to the lowest polymorph listed for this composition: 0 meV per atom
formation energy (no corrections): 0.11 eV/atom

Lattice parameters (Å, degrees): 4.4566 4.4566 3.1819 90.00 90.00 90.00
Space group P4/mmm (No. 123)
Unique sites:
Si1 0.0000 0.0000 0.0000
Te1 0.5000 0.5000 0.0000
Mo1 0.0000 0.5000 0.5000



(8)
Compound: SiTe2Mo
Source: the Alexandria database
Functional: GGA-PBEsol
Structure: relaxed

Computed properties:
mass density: 6.83 g cm⁻³
raw total energy: -6.0813 eV/atom
formation energy (no corrections): 0.06 eV/atom

Lattice parameters (Å, degrees): 3.4621 3.5199 15.1219 90.00 90.00 90.00
Space group Immm (No. 71)
Unique sites:
Si1 0.0000 0.0000 0.0000
Te1 0.0000 0.5000 0.1500
Mo1 0.0000 0.0000 0.5000